(1)
{"formula": "CdFe2Ag", "functional": "GGA-PBE", "state": "relaxed", "final_energy_ev_per_fu": -19.64, "space_group": "R3m (160)", "dos_ef_per_ev_fu": 2.6, "cell": [[8.9864, 0.0000, 0.0000], [8.5258, 2.8403, 0.0000], [8.5258, 1.3828, 2.4810]], "species": ["Fe", "Fe", "Ag", "Cd"], "frac_coords": [[0.9896, 0.9896, 0.9896], [0.2584, 0.2584, 0.2584], [0.5072, 0.5072, 0.5072], [0.7447, 0.7447, 0.7447]]}

---

(2)
{"formula": "CdFe2Ag", "functional": "GGA-PBE", "state": "relaxed", "final_energy_ev_per_fu": -19.20, "space_group": "P4/mmm (123)", "dos_ef_per_ev_fu": 3.5, "cell": [[3.8830, 0.0000, 0.0000], [0.0000, 3.8762, 0.0000], [0.0000, 0.0000, 4.1428]], "species": ["Ag", "Fe", "Fe", "Cd"], "frac_coords": [[0.5000, 0.0000, 0.5000], [0.5000, 0.5000, 0.0000], [0.0000, 0.0000, 0.0000], [0.0000, 0.5000, 0.5000]]}

---

(3)
{"formula": "Cd2FeAg", "functional": "GGA-PBE", "state": "relaxed", "final_energy_ev_per_fu": -11.90, "space_group": "F-43m (216)", "dos_ef_per_ev_fu": 4.3, "cell": [[4.6747, 0.0000, 0.0000], [2.3374, 4.0484, 0.0000], [2.3374, 1.3495, 3.8169]], "species": ["Cd", "Cd", "Fe", "Ag"], "frac_coords": [[0.2500, 0.2500, 0.2500], [0.0000, 0.0000, 0.0000], [0.7500, 0.7500, 0.7500], [0.5000, 0.5000, 0.5000]]}

---

(4)
{"formula": "Cd2FeAg", "functional": "GGA-PBE", "state": "relaxed", "final_energy_ev_per_fu": -12.16, "space_group": "Pmmm (47)", "dos_ef_per_ev_fu": 3.7, "cell": [[4.3120, 0.0000, 0.0000], [0.0000, 4.2667, 0.0000], [0.0000, 0.0000, 3.8780]], "species": ["Cd", "Cd", "Fe", "Ag"], "frac_coords": [[0.5000, 0.5000, 0.0000], [0.0000, 0.0000, 0.0000], [0.5000, 0.0000, 0.5000], [0.0000, 0.5000, 0.5000]]}

---

(5)
{"formula": "CdFe2AgH", "functional": "GGA-PBE", "state": "relaxed", "final_energy_ev_per_fu": -22.50, "space_group": "P4/mmm (123)", "dos_ef_per_ev_fu": 2.3, "cell": [[3.7960, 0.0000, 0.0000], [0.0000, 4.4699, 0.0000], [0.0000, 0.0000, 3.7960]], "species": ["H", "Fe", "Fe", "Cd", "Ag"], "frac_coords": [[0.0000, 0.0000, 0.0000], [0.0000, 0.0000, 0.5000], [0.5000, 0.0000, 0.0000], [0.0000, 0.5000, 0.0000], [0.5000, 0.5000, 0.5000]]}

---

(6)
{"formula": "CdIn2FeAg", "functional": "GGA-PBE", "state": "relaxed", "final_energy_ev_per_fu": -15.34, "space_group": "P4/mmm (123)", "dos_ef_per_ev_fu": 4.5, "cell": [[5.0034, 0.0000, 0.0000], [0.0000, 5.0487, 0.0000], [0.0000, 0.0000, 5.0034]], "species": ["Fe", "In", "In", "Ag", "Cd"], "frac_coords": [[0.0000, 0.0000, 0.0000], [0.0000, 0.0000, 0.5000], [0.5000, 0.0000, 0.0000], [0.0000, 0.5000, 0.0000], [0.5000, 0.5000, 0.5000]]}

---

(7)
{"formula": "La2CdFeAg", "functional": "GGA-PBE", "state": "relaxed", "final_energy_ev_per_fu": -22.33, "space_group": "P4/mmm (123)", "dos_ef_per_ev_fu": 3.9, "cell": [[-5.0639, 0.3058, 0.4045], [-0.4865, -4.0758, -3.0086], [0.1441, -3.0522, 4.1117]], "species": ["La", "La", "Fe", "Ag", "Cd"], "frac_coords": [[0.5000, 0.0000, 0.0000], [0.0000, 0.5000, 0.0000], [0.0000, 0.0000, 0.0000], [0.5000, 0.5000, 0.5000], [0.0000, 0.0000, 0.5000]]}

---

(8)
{"formula": "LaCdFe2Ag", "functional": "GGA-PBE", "state": "relaxed", "final_energy_ev_per_fu": -19.88, "space_group": "P4/mmm (123)", "dos_ef_per_ev_fu": 7.3, "cell": [[-3.7246, -0.7248, 2.9915], [2.8968, -2.7557, 2.9390], [1.2321, 3.9524, 2.4915]], "species": ["Fe", "Fe", "La", "Ag", "Cd"], "frac_coords": [[0.5000, 0.0000, 0.0000], [0.0000, 0.0000, 0.5000], [0.5000, 0.5000, 0.5000], [0.0000, 0.5000, 0.0000], [0.0000, 0.0000, 0.0000]]}

---

(9)
{"formula": "CdFeAgN2", "functional": "GGA-PBE", "state": "relaxed", "e_form_raw_ev_per_atom": 1.991, "space_group": "P4/mmm (123)", "dos_ef_per_ev_fu": 3.1, "cell": [[-1.6673, -3.7574, -0.1406], [4.3188, -1.9679, 1.3766], [-1.1027, 0.3416, 3.9478]], "species": ["N", "N", "Fe", "Cd", "Ag"], "frac_coords": [[0.0000, 0.0000, 0.5000], [0.5000, 0.0000, 0.0000], [0.0000, 0.5000, 0.0000], [0.5000, 0.5000, 0.5000], [0.0000, 0.0000, 0.0000]]}

---

(10)
{"formula": "Cd2FeAgP", "functional": "GGA-PBE", "state": "relaxed", "final_energy_ev_per_fu": -13.45, "space_group": "P4/mmm (123)", "dos_ef_per_ev_fu": 3.8, "cell": [[-4.1855, 1.8518, 1.9354], [-1.3969, -4.4626, 1.2490], [2.2623, 0.5215, 4.3935]], "species": ["Cd", "Cd", "Ag", "Fe", "P"], "frac_coords": [[0.0000, 0.0000, 0.5000], [0.5000, 0.0000, 0.0000], [0.0000, 0.5000, 0.0000], [0.0000, 0.0000, 0.0000], [0.5000, 0.5000, 0.5000]]}

---

(11)
{"formula": "CdFe2ReAg", "functional": "GGA-PBE", "state": "relaxed", "final_energy_ev_per_fu": -23.63, "space_group": "P4/mmm (123)", "dos_ef_per_ev_fu": 5.5, "cell": [[-2.7901, 2.2323, 2.9807], [-3.9733, -2.1949, -2.0754], [0.3826, -3.5330, 3.0041]], "species": ["Fe", "Fe", "Ag", "Cd", "Re"], "frac_coords": [[0.5000, 0.0000, 0.0000], [0.0000, 0.0000, 0.5000], [0.0000, 0.0000, 0.0000], [0.5000, 0.5000, 0.5000], [0.0000, 0.5000, 0.0000]]}

---

(12)
{"formula": "CdFeTc2Ag", "functional": "GGA-PBE", "state": "relaxed", "final_energy_ev_per_fu": -21.29, "space_group": "P4/mmm (123)", "dos_ef_per_ev_fu": 14.6, "cell": [[4.8152, 0.0000, 0.0000], [0.0000, 4.5638, 0.0000], [0.0000, 0.0000, 4.8152]], "species": ["Cd", "Tc", "Tc", "Ag", "Fe"], "frac_coords": [[0.5000, 0.5000, 0.5000], [0.0000, 0.0000, 0.5000], [0.5000, 0.0000, 0.0000], [0.0000, 0.0000, 0.0000], [0.0000, 0.5000, 0.0000]]}